(1)
Ca5Sn3H: optimized geometry, GGA-PBEsol. Values from VASP.

Values from the calculation:
Symmetry ... No. 140
Calculated total energy ... -3.6670 eV/atom

Geometry as Quantum ESPRESSO input:
```
&SYSTEM
  ibrav = 0, nat = 18, ntyp = 3
/
ATOMIC_SPECIES
Sn 118.71 Sn.upf
Ca 40.08 Ca.upf
H 1.01 H.upf
CELL_PARAMETERS angstrom
-5.5458 5.8765 -0.1948
-3.3010 -8.6454 0.8503
-2.4864 -2.1012 7.3980
ATOMIC_POSITIONS crystal
Sn 0.1267 0.0000 0.6267
Ca 0.5000 0.0000 0.5000
Ca 0.1860 0.6958 0.9901
Sn 0.7500 0.5000 0.2500
Ca 0.0000 0.0000 0.0000
Ca 0.9901 0.3042 0.5099
Sn 0.6267 0.0000 0.8733
Sn 0.3733 0.0000 0.1267
Ca 0.3140 0.3042 0.1860
H 0.2500 0.5000 0.2500
H 0.7500 0.5000 0.7500
Ca 0.5099 0.6958 0.3140
Sn 0.2500 0.5000 0.7500
Ca 0.0099 0.6958 0.4901
Sn 0.8733 0.0000 0.3733
Ca 0.6860 0.6958 0.8140
Ca 0.4901 0.3042 0.6860
Ca 0.8140 0.3042 0.0099
```

***

(2)
Ti3MoAs4: optimized geometry, GGA-PBEsol. Values from VASP.

Values from the calculation:
Symmetry ... No. 164
Calculated total energy ... -7.8994 eV/atom

Geometry as Quantum ESPRESSO input:
```
&SYSTEM
  ibrav = 0, nat = 8, ntyp = 3
/
ATOMIC_SPECIES
Ti 47.87 Ti.upf
As 74.92 As.upf
Mo 95.94 Mo.upf
CELL_PARAMETERS angstrom
-2.2720 1.8249 1.7036
2.0150 -2.1503 1.6464
8.9766 9.6573 1.6269
ATOMIC_POSITIONS crystal
Ti 0.0000 0.0000 0.2507
As 0.6667 0.3333 0.6251
As 0.6667 0.3333 0.1245
Ti 0.0000 0.0000 0.5000
As 0.3333 0.6667 0.8755
Ti 0.0000 0.0000 0.7493
Mo 0.0000 0.0000 0.0000
As 0.3333 0.6667 0.3749
```

***

> What is the formula in the first record?

Ca5Sn3H

***

> Among the records above, which one has the lowest calculated total energy?

Ti3MoAs4